(1)
DFT (PBE) results for an optimized crystal structure of Na2AlCd.

Structure (extended XYZ):
```
4
Lattice="-0.209 1.061 -2.978 -1.356 -1.796 -2.230 -10.856 4.538 0.695" Properties=species:S:1:pos:R:3 pbc="T T T"
Cd -6.211 1.901 -2.257
Al 0.000 0.000 0.000
Na -4.291 0.526 -4.567
Na -8.131 3.277 0.054
```

Results
Calculated formation energy, eV per atom: 0.21

(2)
DFT (PBE) results for an optimized crystal structure of TbDy4Cd3.

Structure (extended XYZ):
```
8
Lattice="-0.711 -5.271 -0.366 2.942 -2.857 -3.407 6.926 -3.988 5.153" Properties=species:S:1:pos:R:3 pbc="T T T"
Cd 7.042 -9.123 1.216
Dy 4.518 -3.490 2.656
Cd 4.578 -6.058 0.690
Cd 2.115 -2.993 0.164
Dy 4.639 -8.626 -1.276
Dy 2.461 -5.620 -1.506
Tb 0.000 0.000 0.000
Dy 6.696 -6.496 2.886
```

Results
Calculated formation energy, eV per atom: -0.17

(3)
DFT (PBE) results for an optimized crystal structure of Th2SiGeIr6.

Structure (extended XYZ):
```
10
Lattice="-5.776 2.666 1.365 -1.838 -5.496 2.958 -2.135 0.169 6.144" Properties=species:S:1:pos:R:3 pbc="T T T"
Ir -1.941 -0.721 1.102
Ir -2.988 -0.638 4.114
Ir -5.674 -2.108 3.221
Th -5.859 0.710 4.835
Ir -2.842 -3.416 2.552
Ir -6.762 -2.022 6.353
Si -3.807 -1.415 2.161
Ge 0.000 0.000 0.000
Ir -4.772 0.586 1.771
Th -3.890 -3.371 5.631
```

Results
DFT total energy, eV per cell: -79.81

(4)
DFT (PBE) results for an optimized crystal structure of Li2CaBe.

Structure (extended XYZ):
```
4
Lattice="5.543 -0.048 -0.031 3.822 4.015 -0.031 3.822 1.619 3.674" Properties=species:S:1:pos:R:3 pbc="T T T"
Li 7.119 3.016 1.950
Ca 9.890 4.190 2.709
Be 3.297 1.397 0.903
Li 12.660 5.363 3.468
```

Results
Calculated formation energy, eV per atom: 0.28

(5)
DFT (PBE) results for an optimized crystal structure of LiZnSb2.

Structure (extended XYZ):
```
4
Lattice="5.748 0.000 0.000 0.000 3.292 -0.050 0.000 -0.135 4.902" Properties=species:S:1:pos:R:3 pbc="T T T"
Zn 0.000 2.003 2.345
Li 2.874 1.983 3.691
Sb 2.874 0.414 1.275
Sb 0.000 0.201 4.868
```

Results
DFT total energy, eV per cell: -11.67

(6)
DFT (PBE) results for an optimized crystal structure of VNiS3.

Structure (extended XYZ):
```
5
Lattice="4.415 0.000 0.000 0.000 4.415 0.000 0.000 0.000 4.415" Properties=species:S:1:pos:R:3 pbc="T T T"
S 0.000 0.000 2.207
S 0.000 2.207 0.000
Ni 0.000 0.000 0.000
S 2.207 0.000 0.000
V 2.207 2.207 2.207
```

Results
Offset from the most stable computed form, eV/f.u.: 4.79

(7)
DFT (PBE) results for an optimized crystal structure of NdMg4Ag4.

Structure (extended XYZ):
```
18
Lattice="6.519 0.000 0.000 0.000 6.519 0.000 0.000 0.000 9.460" Properties=species:S:1:pos:R:3 pbc="T T T"
Mg 1.490 3.259 8.569
Mg 0.000 4.750 3.839
Mg 5.029 3.259 8.569
Ag 0.000 1.841 6.673
Ag 1.419 3.259 1.943
Ag 3.259 5.100 7.517
Ag 5.100 3.259 1.943
Ag 3.259 1.419 7.517
Nd 0.000 0.000 0.000
Ag 1.841 0.000 2.787
Mg 1.769 0.000 5.620
Mg 4.750 0.000 5.620
Nd 3.259 3.259 4.730
Ag 4.678 0.000 2.787
Mg 0.000 1.769 3.839
Ag 0.000 4.678 6.673
Mg 3.259 5.029 0.890
Mg 3.259 1.490 0.890
```

Results
Calculated formation energy, eV per atom: -0.10

(8)
DFT (PBE) results for an optimized crystal structure of GaSb2PdI.

Structure (extended XYZ):
```
5
Lattice="5.194 0.000 0.000 0.000 5.194 0.000 0.000 0.000 5.911" Properties=species:S:1:pos:R:3 pbc="T T T"
Ga 2.597 2.597 2.955
Sb 2.597 0.000 0.000
Pd 0.000 0.000 0.000
Sb 0.000 2.597 0.000
I 0.000 0.000 2.955
```

Results
Offset from the most stable computed form, eV/f.u.: 0.00

(9)
DFT (PBE) results for an optimized crystal structure of La5YAl2.

Structure (extended XYZ):
```
16
Lattice="5.500 0.000 0.000 -2.750 4.763 0.000 0.000 0.000 20.387" Properties=species:S:1:pos:R:3 pbc="T T T"
La 0.000 0.000 13.320
La 2.750 1.588 5.097
Al 0.000 3.176 2.087
La 2.750 1.588 9.091
Al 2.750 1.588 12.281
La 2.750 1.588 1.103
La 0.000 0.000 7.067
La 0.000 3.176 19.284
Al 0.000 3.176 8.106
La 0.000 0.000 3.127
Al 2.750 1.588 18.300
Y 0.000 3.176 5.097
La 0.000 3.176 15.290
La 0.000 3.176 11.296
La 0.000 0.000 17.260
Y 2.750 1.588 15.290
```

Results
Calculated formation energy, eV per atom: -0.06

(10)
DFT (PBE) results for an optimized crystal structure of Tb6CeYTm2.

Structure (extended XYZ):
```
10
Lattice="-7.712 3.304 3.028 1.835 -1.507 6.319 2.799 5.046 -3.215" Properties=species:S:1:pos:R:3 pbc="T T T"
Tb -4.509 3.732 3.939
Tb 1.431 3.112 2.192
Tm -0.658 1.342 0.511
Tm -2.420 5.502 5.620
Ce 0.918 -0.754 3.159
Tb -1.741 5.087 1.719
Tb -1.336 1.757 4.413
Tb 0.482 3.892 -1.077
Tb -3.560 2.952 7.209
Y -3.856 1.652 1.514
```

Results
Calculated formation energy, eV per atom: 0.25

(11)
DFT (PBE) results for an optimized crystal structure of K3SrC.

Structure (extended XYZ):
```
5
Lattice="-4.993 3.638 -0.128 -2.641 -3.471 4.377 2.505 3.591 4.360" Properties=species:S:1:pos:R:3 pbc="T T T"
K -1.321 -1.736 2.188
K -2.497 1.819 -0.064
C 0.000 0.000 0.000
K 1.252 1.796 2.180
Sr -2.565 1.879 4.304
```

Results
Calculated formation energy, eV per atom: 0.97
Offset from the most stable computed form, eV/f.u.: 0.00

(12)
DFT (PBE) results for an optimized crystal structure of HoBeZn11.

Structure (extended XYZ):
```
13
Lattice="4.790 -0.005 1.996 2.336 6.147 0.973 0.028 -0.003 6.679" Properties=species:S:1:pos:R:3 pbc="T T T"
Zn 4.188 4.777 3.164
Zn 2.967 1.362 6.484
Zn 2.409 -0.004 4.337
Zn 5.564 2.186 6.679
Zn 1.931 1.365 2.224
Zn 3.898 2.189 3.930
Zn 3.257 3.950 5.717
Be 3.563 3.071 1.485
Zn 0.014 -0.001 3.339
Zn 5.225 4.774 7.424
Ho 0.000 0.000 0.000
Zn 1.591 3.953 2.969
Zn 1.168 3.074 0.487
```

Results
Calculated formation energy, eV per atom: -0.15

(13)
DFT (PBE) results for an optimized crystal structure of TiCo2Os.

Structure (extended XYZ):
```
8
Lattice="3.592 0.000 0.000 0.000 3.592 0.000 1.796 1.796 8.650" Properties=species:S:1:pos:R:3 pbc="T T T"
Co 4.490 4.506 6.487
Co 0.883 2.694 2.162
Ti 1.796 3.592 4.325
Ti 1.796 1.796 0.000
Co 2.694 2.679 6.487
Co 2.710 0.898 2.162
Os 0.000 0.000 0.000
Os 3.592 1.796 4.325
```

Results
Calculated formation energy, eV per atom: 0.36
Offset from the most stable computed form, eV/f.u.: 2.31

(14)
DFT (PBE) results for an optimized crystal structure of SrLi2TeCl.

Structure (extended XYZ):
```
5
Lattice="5.048 0.000 0.000 0.000 6.646 0.000 0.000 0.000 5.048" Properties=species:S:1:pos:R:3 pbc="T T T"
Cl 2.524 3.323 2.524
Sr 0.000 3.323 0.000
Te 0.000 0.000 0.000
Li 2.524 0.000 0.000
Li 0.000 0.000 2.524
```

Results
DFT total energy, eV per cell: -15.29

(15)
DFT (PBE) results for an optimized crystal structure of AgBiP2H.

Structure (extended XYZ):
```
5
Lattice="4.701 0.000 0.000 0.000 3.854 0.000 0.000 0.000 4.701" Properties=species:S:1:pos:R:3 pbc="T T T"
Bi 2.351 1.927 2.351
Ag 0.000 1.927 0.000
H 0.000 0.000 0.000
P 2.351 0.000 0.000
P 0.000 0.000 2.351
```

Results
DFT total energy, eV per cell: -17.56

(16)
DFT (PBE) results for an optimized crystal structure of AcSc3Mn.

Structure (extended XYZ):
```
5
Lattice="5.061 0.000 0.000 0.000 5.061 0.000 0.000 0.000 5.061" Properties=species:S:1:pos:R:3 pbc="T T T"
Ac 2.531 2.531 2.531
Sc 2.531 0.000 0.000
Sc 0.000 2.531 0.000
Sc 0.000 0.000 2.531
Mn 0.000 0.000 0.000
```

Results
Calculated formation energy, eV per atom: 0.12

(17)
DFT (PBE) results for an optimized crystal structure of TaMoIrW2.

Structure (extended XYZ):
```
5
Lattice="-3.336 -2.074 2.579 -2.421 -0.872 -3.832 2.209 -4.123 -0.458" Properties=species:S:1:pos:R:3 pbc="T T T"
Ta 0.000 0.000 0.000
Ir -1.774 -3.534 -0.855
W -1.668 -1.037 1.290
W 1.105 -2.061 -0.229
Mo -1.210 -0.436 -1.916
```

Results
Calculated formation energy, eV per atom: 2.33

(18)
DFT (PBE) results for an optimized crystal structure of FeCoS4.

Structure (extended XYZ):
```
12
Lattice="-1.365 0.295 -5.275 4.303 -3.060 -1.284 -3.023 -4.507 0.531" Properties=species:S:1:pos:R:3 pbc="T T T"
S -1.548 -3.098 -0.441
S 0.093 -1.409 -5.109
S 0.960 -3.529 -2.630
Co 1.469 -1.383 -3.280
Co 0.640 -3.783 -0.377
Fe 0.000 0.000 0.000
S -0.396 -0.767 -2.095
S -0.178 -5.864 -0.919
S 0.311 -6.506 -3.934
S 1.463 -4.175 -5.588
Fe -2.194 -2.106 -2.372
S -1.045 -3.743 -3.399
```

Results
DFT total energy, eV per cell: -69.13

(19)
DFT (PBE) results for an optimized crystal structure of CsAgCl2.

Structure (extended XYZ):
```
8
Lattice="-4.190 -1.396 -0.594 2.000 -6.943 2.212 -0.616 6.084 6.758" Properties=species:S:1:pos:R:3 pbc="T T T"
Cl 0.468 0.458 5.218
Cl -0.429 -2.838 2.607
Cs -2.536 -4.615 4.892
Cl -1.506 0.897 1.421
Cl -3.024 3.681 5.567
Ag -0.611 -1.373 0.426
Ag -1.330 -0.569 3.601
Cs -2.217 0.417 7.509
```

Results
Offset from the most stable computed form, eV/f.u.: 0.02

(20)
DFT (PBE) results for an optimized crystal structure of Cd2Ga2Pd5.

Structure (extended XYZ):
```
18
Lattice="6.749 0.000 0.000 0.000 6.782 0.000 0.000 -3.391 6.827" Properties=species:S:1:pos:R:3 pbc="T T T"
Ga 4.331 5.825 0.000
Cd 0.000 3.391 3.944
Ga 0.956 4.349 0.000
Pd 4.436 1.081 1.619
Pd 3.375 3.391 0.000
Pd 2.313 5.701 1.619
Pd 4.436 -2.310 5.208
Pd 5.687 1.081 5.208
Cd 3.375 3.391 2.883
Cd 0.000 0.000 2.883
Pd 5.687 4.473 1.619
Ga 5.793 2.433 0.000
Cd 3.375 0.000 3.944
Pd 1.062 -1.081 5.208
Ga 2.418 0.958 0.000
Pd 0.000 0.000 0.000
Pd 1.062 2.310 1.619
Pd 2.313 2.310 5.208
```

Results
Calculated formation energy, eV per atom: -0.42

(21)
DFT (PBE) results for an optimized crystal structure of LiMnMo3.

Structure (extended XYZ):
```
5
Lattice="-3.300 -2.100 -1.405 0.346 -2.664 3.171 -2.503 2.401 2.290" Properties=species:S:1:pos:R:3 pbc="T T T"
Mn -2.728 -1.182 2.028
Li 0.000 0.000 0.000
Mo -1.251 1.200 1.145
Mo -1.650 -1.050 -0.702
Mo 0.173 -1.332 1.585
```

Results
Calculated formation energy, eV per atom: 1.47
Offset from the most stable computed form, eV/f.u.: 1.57

(22)
DFT (PBE) results for an optimized crystal structure of Dy3Th2Co2.

Structure (extended XYZ):
```
7
Lattice="-0.302 -3.238 -1.621 6.040 0.885 1.197 -3.233 -1.665 8.005" Properties=species:S:1:pos:R:3 pbc="T T T"
Th -0.049 -3.008 6.031
Dy 2.972 -0.871 5.281
Co -1.979 -4.219 4.729
Co 4.484 0.201 2.852
Dy -0.151 -1.619 -0.810
Th 2.554 -1.010 1.550
Dy -0.468 -3.146 2.300
```

Results
Calculated formation energy, eV per atom: -0.19

(23)
DFT (PBE) results for an optimized crystal structure of ZrFeNi2.

Structure (extended XYZ):
```
4
Lattice="-6.639 -5.390 1.793 -6.110 -6.194 -0.799 -4.670 -7.268 1.303" Properties=species:S:1:pos:R:3 pbc="T T T"
Zr -8.747 -9.467 1.153
Ni -0.009 -0.010 0.001
Ni -4.485 -4.854 0.591
Fe -12.887 -13.947 1.699
```

Results
Calculated formation energy, eV per atom: 0.24

(24)
DFT (PBE) results for an optimized crystal structure of CePuI6.

Structure (extended XYZ):
```
8
Lattice="7.877 -0.949 -1.120 -3.292 7.219 -1.120 0.953 1.303 7.819" Properties=species:S:1:pos:R:3 pbc="T T T"
Ce 0.000 0.000 0.000
I 2.113 2.889 5.376
I 3.426 4.685 0.203
Pu 0.477 0.652 3.910
I -1.582 6.007 4.992
I 6.204 0.313 4.992
I 7.121 1.566 0.587
I -0.666 7.260 0.587
```

Results
Offset from the most stable computed form, eV/f.u.: 0.00